The following is a PBE-GGA calculation of ReB4Sb after structural relaxation, from the Open Quantum Materials Database.

Geometry as POSCAR:
```
ReB4Sb
1.0
-1.5407 2.7067 3.6625
1.5407 -2.7067 3.6625
1.5407 2.7067 -3.6625
Re B Sb
1 4 1
Direct
0.0000 0.0000 0.0000
0.0806 0.7441 0.3365
0.4076 0.7441 0.6635
0.5924 0.2559 0.3365
0.9194 0.2559 0.6635
0.5000 0.5000 0.0000
```

Properties
The relative energy among the computed polymorphs comes out at 341.4 meV/atom. Its space-group type is Immm, No. 71. The total DFT energy (no corrections) is -6.52 eV/atom. For the magnetic moment, the calculation gives 0.01 μB/cell.


The following is a PBE-GGA calculation of ReBSb after structural relaxation, from the Open Quantum Materials Database.

Geometry as POSCAR:
```
ReBSb
1.0
0.0000 2.8358 2.8358
2.8358 0.0000 2.8358
2.8358 2.8358 0.0000
Re B Sb
1 1 1
Direct
0.0000 0.0000 0.0000
0.7500 0.7500 0.7500
0.5000 0.5000 0.5000
```

Properties
The relative energy among the computed polymorphs comes out at 0.0 meV/atom. Its space-group type is F-43m, No. 216. The total DFT energy (no corrections) is -6.63 eV/atom. For the magnetic moment, the calculation gives 0.00 μB/cell.


> The highest total DFT energy (no corrections) belongs to which entry?

ReB4Sb


> The lowest magnetic moment belongs to which entry?

ReBSb


> Look up the total DFT energy (no corrections) of the first one.

-6.52 eV/atom


Please write out number 2 again, unchanged.
The following is a PBE-GGA calculation of ReBSb after structural relaxation, from the Open Quantum Materials Database.

Geometry as POSCAR:
```
ReBSb
1.0
0.0000 2.8358 2.8358
2.8358 0.0000 2.8358
2.8358 2.8358 0.0000
Re B Sb
1 1 1
Direct
0.0000 0.0000 0.0000
0.7500 0.7500 0.7500
0.5000 0.5000 0.5000
```

Properties
The relative energy among the computed polymorphs comes out at 0.0 meV/atom. Its space-group type is F-43m, No. 216. The total DFT energy (no corrections) is -6.63 eV/atom. For the magnetic moment, the calculation gives 0.00 μB/cell.